1.
VASP calculation (PBE) on crystalline Mg2AgBr at its relaxed geometry.

Lattice parameters (Å, degrees): 5.721 5.721 5.721 144.81 113.15 77.85
Fractional positions:
Mg (0.499, 0.499, 0.000)
Mg (0.001, 0.001, 0.000)
Br (0.250, 0.750, 0.500)
Ag (0.750, 0.250, 0.500)

Summary:
Its relative energy among the computed polymorphs is 0.227 eV/atom. The total energy comes out at -2.156 eV per atom. The crystal system is orthorhombic. The energy relative to the elements, uncorrected is -0.2278 eV per atom. The magnetization is 0.00 μB per cell. For the theoretical density, the calculation gives 4.05 g cm⁻³.

***

2.
VASP calculation (PBE) on crystalline Li3La2GaSn4 at its relaxed geometry.

Lattice parameters (Å, degrees): 4.539 4.539 11.381 90.00 90.00 90.00
Fractional positions:
La (0.500, 0.000, 0.243)
La (0.000, 0.500, 0.757)
Sn (0.000, 0.000, 0.000)
Sn (0.500, 0.500, 0.000)
Sn (0.500, 0.000, 0.644)
Sn (0.000, 0.500, 0.356)
Li (0.500, 0.000, 0.871)
Li (0.000, 0.500, 0.129)
Li (0.000, 0.000, 0.500)
Ga (0.500, 0.500, 0.500)

Summary:
As for the energy relative to the elements: -0.578 eV per atom. The total energy comes out at -4.042 eV per atom. The crystal system is tetragonal. The magnetization is 0.00 μB per cell. For the theoretical density, the calculation gives 5.97 g cm⁻³.

***

3.
VASP calculation (PBE) on crystalline CuTcHgRu2 at its relaxed geometry.

Lattice parameters (Å, degrees): 4.518 4.515 4.518 90.00 90.00 90.00
Site moments in Bohr magnetons follow the coordinates.
Fractional positions:
Ru (0.000, 0.000, 0.500)  1.08
Ru (0.500, 0.000, 0.000)  0.95
Hg (0.500, 0.500, 0.500)  0.00
Tc (0.000, 0.500, 0.000)  1.75
Cu (0.000, 0.000, 0.000)  0.17

Summary:
As for the energy relative to the elements: 1.576 eV per atom. The total energy comes out at -5.087 eV per atom. The crystal system is tetragonal. The magnetization is 4.13 μB per cell. For the theoretical density, the calculation gives 10.17 g cm⁻³.

***

4.
VASP calculation (PBE) on crystalline Cu4Si at its relaxed geometry.

Lattice parameters (Å, degrees): 6.630 6.630 6.630 150.94 150.94 41.57
Fractional positions:
Si (0.000, 0.000, 0.000)
Cu (0.404, 0.404, 0.000)
Cu (0.596, 0.596, 0.000)
Cu (0.750, 0.250, 0.500)
Cu (0.250, 0.750, 0.500)

Summary:
Its relative energy among the computed polymorphs is 0.364 eV/atom. The total energy comes out at -4.051 eV per atom. The crystal system is tetragonal. The energy relative to the elements, uncorrected is 0.3101 eV per atom. The magnetization is 0.00 μB per cell. For the theoretical density, the calculation gives 6.83 g cm⁻³.

***

5.
VASP calculation (PBE) on crystalline Sc2CdInC at its relaxed geometry.

Lattice parameters (Å, degrees): 4.538 4.538 4.622 90.00 90.00 90.00
Fractional positions:
Sc (0.000, 0.500, 0.000)
Sc (0.500, 0.000, 0.000)
Cd (0.000, 0.000, 0.500)
In (0.500, 0.500, 0.500)
C (0.000, 0.000, 0.000)

Summary:
As for the energy relative to the elements: -0.246 eV per atom. The total energy comes out at -5.354 eV per atom. The crystal system is tetragonal. The magnetization is 0.00 μB per cell. For the theoretical density, the calculation gives 5.74 g cm⁻³.

***

6.
VASP calculation (PBE) on crystalline Li2CoBr at its relaxed geometry.

Lattice parameters (Å, degrees): 3.456 3.455 5.884 90.00 90.00 90.00
Site moments in Bohr magnetons follow the coordinates.
Fractional positions:
Br (0.000, 0.000, 0.443)  0.02
Li (0.000, 0.000, 0.980)  -0.04
Li (0.500, 0.500, 0.268)  -0.01
Co (0.500, 0.500, 0.809)  1.97

Summary:
Its relative energy among the computed polymorphs is 0.106 eV/atom. The total energy comes out at -3.180 eV per atom. The crystal system is tetragonal. The energy relative to the elements, uncorrected is -0.0289 eV per atom. The magnetization is 1.89 μB per cell. For the theoretical density, the calculation gives 3.61 g cm⁻³.

***

7.
VASP calculation (PBE) on crystalline SiTc2Mo at its relaxed geometry.

Lattice parameters (Å, degrees): 2.884 2.884 6.835 90.00 90.00 90.00
Fractional positions:
Tc (0.500, 0.500, 0.239)
Tc (0.000, 0.000, 0.981)
Si (0.500, 0.500, 0.762)
Mo (0.000, 0.000, 0.518)

Summary:
The total energy comes out at -9.399 eV per atom. The crystal system is tetragonal. The energy relative to the elements, uncorrected is -0.1530 eV per atom. The magnetization is 0.00 μB per cell. For the theoretical density, the calculation gives 9.35 g cm⁻³.

***

8.
VASP calculation (PBE) on crystalline NaTl2CoPb at its relaxed geometry.

Lattice parameters (Å, degrees): 5.154 5.154 5.103 90.00 90.00 90.00
Site moments in Bohr magnetons follow the coordinates.
Fractional positions:
Tl (0.000, 0.500, 0.000)  0.00
Tl (0.500, 0.000, 0.000)  0.00
Na (0.500, 0.500, 0.500)  0.01
Pb (0.000, 0.000, 0.500)  0.01
Co (0.000, 0.000, 0.000)  0.46

Summary:
As for the energy relative to the elements: 0.130 eV per atom. The total energy comes out at -3.243 eV per atom. The crystal system is tetragonal. The magnetization is 0.52 μB per cell. For the theoretical density, the calculation gives 8.55 g cm⁻³.